1.
Here is an optimized crystal structure of LaSnPt from Alexandria via LeMat-Bulk. Energies are from GGA-PBE. Values from VASP.

Calculated values
Formation enthalpy at 0 K, eV per formula unit: -2.3
Space group: I4mm (107)

Quantum ESPRESSO input file:
```
&SYSTEM
  ibrav = 0, nat = 3, ntyp = 3
/
ATOMIC_SPECIES
Sn 118.71 Sn.upf
Pt 195.08 Pt.upf
La 138.91 La.upf
ATOMIC_POSITIONS angstrom
Sn -2.144 2.785 0.846
Pt -4.412 2.360 2.566
La -2.127 -0.609 1.664
CELL_PARAMETERS angstrom
-2.851 -2.009 -0.612
-0.001 -1.030 3.387
-2.004 5.974 -0.035
```

***

2.
Here is an optimized crystal structure of Ca6CdGa from Alexandria via LeMat-Bulk. Energies are from GGA-PBE. Values from VASP.

Calculated values
Formation enthalpy at 0 K, eV per formula unit: -1.7
Space group: I4/mmm (139)

Quantum ESPRESSO input file:
```
&SYSTEM
  ibrav = 0, nat = 8, ntyp = 3
/
ATOMIC_SPECIES
Ca 40.08 Ca.upf
Cd 112.41 Cd.upf
Ga 69.72 Ga.upf
ATOMIC_POSITIONS angstrom
Ca 3.420 3.745 7.386
Ca 2.862 0.301 9.237
Ca 0.041 2.877 9.237
Ca 1.622 4.610 3.986
Ca 1.064 1.165 5.837
Ca 4.444 2.033 3.986
Cd 2.353 2.577 1.558
Ga 0.000 0.000 0.000
CELL_PARAMETERS angstrom
5.175 0.000 1.558
-0.470 5.153 1.559
-0.221 -0.243 10.106
```

***

3.
Here is an optimized crystal structure of Tm3ZnPt from Alexandria via LeMat-Bulk. Energies are from GGA-PBE. Values from VASP.

Calculated values
Formation enthalpy at 0 K, eV per formula unit: -3.1
Excess energy over the best structure of this formula in the dataset, meV per atom: 48
Space group: Pmmn (59)

Quantum ESPRESSO input file:
```
&SYSTEM
  ibrav = 0, nat = 10, ntyp = 3
/
ATOMIC_SPECIES
Tm 168.93 Tm.upf
Zn 65.41 Zn.upf
Pt 195.08 Pt.upf
ATOMIC_POSITIONS angstrom
Tm 3.385 5.076 0.402
Tm 1.128 1.692 7.877
Tm 3.385 6.747 5.524
Tm 3.384 3.406 5.524
Tm 1.128 0.022 2.756
Tm 1.129 3.362 2.756
Zn 3.384 1.691 1.479
Zn 1.129 5.077 6.801
Pt 3.385 5.076 3.226
Pt 1.128 1.692 5.053
CELL_PARAMETERS angstrom
4.512 -0.001 0.000
0.002 6.769 0.000
0.000 0.000 8.280
```

***

4.
Here is an optimized crystal structure of Sr2ZrNbI from Alexandria via LeMat-Bulk. Energies are from GGA-PBE. Values from VASP.

Calculated values
Energy relative to the elements, uncorrected, meV per atom: 1113
Space group: P4/mmm (123)

Quantum ESPRESSO input file:
```
&SYSTEM
  ibrav = 0, nat = 5, ntyp = 4
/
ATOMIC_SPECIES
I 126.90 I.upf
Sr 87.62 Sr.upf
Nb 92.91 Nb.upf
Zr 91.22 Zr.upf
ATOMIC_POSITIONS angstrom
I -0.957 0.101 -2.430
Sr -1.077 -2.843 0.306
Sr -2.632 1.114 1.083
Nb 0.000 0.000 0.000
Zr -4.666 -1.629 -1.041
CELL_PARAMETERS angstrom
-5.263 2.228 2.166
-1.915 0.202 -4.860
-2.155 -5.687 0.613
```

***

no.,M_tot (Bohr magnetons per cell)
1,0.00
2,0.00
3,0.00
4,2.53